P:
Material: LiBeTcOs
Method: DFT, GGA-PBE
State: optimized geometry

The structure belongs to space group F-43m (No. 216); the cell edges are 5.6871, 5.6871 and 5.6871 Å and the angles 90.00°, 90.00° and 90.00°. Symmetry generates all atoms from Li at (0.0000, 0.0000, 0.0000), Be at (0.0000, 0.0000, 0.5000), Tc at (0.2500, 0.2500, 0.7500) and Os at (0.2500, 0.2500, 0.2500).

---

Q:
Material: LiBeTcOs
Method: DFT, GGA-PBE
State: optimized geometry

The structure belongs to space group F-43m (No. 216); the cell edges are 5.8128, 5.8128 and 5.8128 Å and the angles 90.00°, 90.00° and 90.00°. Symmetry generates all atoms from Li at (0.0000, 0.0000, 0.0000), Be at (0.2500, 0.2500, 0.7500), Tc at (0.2500, 0.2500, 0.2500) and Os at (0.0000, 0.0000, 0.5000).

---

Quick one: least stable of them? P

---

P:
Material: LiPaBe
Method: DFT, GGA-PBE
State: optimized geometry

The structure belongs to space group F-43m (No. 216); the cell edges are 6.0497, 6.0497 and 6.0497 Å and the angles 90.00°, 90.00° and 90.00°. Symmetry generates all atoms from Li at (0.0000, 0.0000, 0.0000), Pa at (0.2500, 0.2500, 0.2500) and Be at (0.2500, 0.2500, 0.7500).

---

Q:
Material: LiPaBe
Method: DFT, GGA-PBE
State: optimized geometry

The structure belongs to space group F-43m (No. 216); the cell edges are 6.1729, 6.1729 and 6.1729 Å and the angles 90.00°, 90.00° and 90.00°. Symmetry generates all atoms from Li at (0.0000, 0.0000, 0.0000), Pa at (0.0000, 0.0000, 0.5000) and Be at (0.2500, 0.2500, 0.2500).

---

Quick one: least stable of them? P

---

P:
Material: LiBeZnPb
Method: DFT, GGA-PBE
State: optimized geometry

The structure belongs to space group F-43m (No. 216); the cell edges are 6.4192, 6.4192 and 6.4192 Å and the angles 90.00°, 90.00° and 90.00°. Symmetry generates all atoms from Li at (0.0000, 0.0000, 0.0000), Be at (0.0000, 0.0000, 0.5000), Zn at (0.2500, 0.2500, 0.2500) and Pb at (0.2500, 0.2500, 0.7500).

---

Q:
Material: LiBeZnPb
Method: DFT, GGA-PBE
State: optimized geometry

The structure belongs to space group F-43m (No. 216); the cell edges are 6.5986, 6.5986 and 6.5986 Å and the angles 90.00°, 90.00° and 90.00°. Symmetry generates all atoms from Li at (0.0000, 0.0000, 0.0000), Be at (0.2500, 0.2500, 0.2500), Zn at (0.2500, 0.2500, 0.7500) and Pb at (0.0000, 0.0000, 0.5000).

---

Quick one: least stable of them? Q

---

P:
Material: LiBe2Pt2
Method: DFT, GGA-PBE
State: optimized geometry

The structure belongs to space group P4/mbm (No. 127); the cell edges are 6.5983, 6.5983 and 2.7503 Å and the angles 90.00°, 90.00° and 90.00°. Symmetry generates all atoms from Li at (0.0000, 0.0000, 0.0000), Be at (0.1266, 0.3734, 0.0000) and Pt at (0.1673, 0.6673, 0.5000).

---

Q:
Material: LiBe2Pt2
Method: DFT, GGA-PBE
State: optimized geometry

The structure belongs to space group I4/mmm (No. 139); the cell edges are 3.4660, 3.4660 and 11.1842 Å and the angles 90.00°, 90.00° and 90.00°. Symmetry generates all atoms from Li at (0.0000, 0.0000, 0.0000), Be at (0.0000, 0.5000, 0.2500) and Pt at (0.0000, 0.0000, 0.3804).

---

Quick one: least stable of them? Q

---

P:
Material: LiBePt
Method: DFT, GGA-PBE
State: optimized geometry

The structure belongs to space group Cmcm (No. 63); the cell edges are 2.7743, 13.0815 and 3.8907 Å and the angles 90.00°, 90.00° and 90.00°. Symmetry generates all atoms from Li at (0.0000, 0.2263, 0.2500), Be at (0.0000, 0.4409, 0.7500) and Pt at (0.0000, 0.0915, 0.7500).

---

Q:
Material: LiBePt
Method: DFT, GGA-PBE
State: optimized geometry

The structure belongs to space group F-43m (No. 216); the cell edges are 5.3443, 5.3443 and 5.3443 Å and the angles 90.00°, 90.00° and 90.00°. Symmetry generates all atoms from Li at (0.0000, 0.0000, 0.0000), Be at (0.2500, 0.2500, 0.2500) and Pt at (0.0000, 0.0000, 0.5000).

---

Quick one: least stable of them? Q

---

P:
Material: LiBeSbPt
Method: DFT, GGA-PBE
State: optimized geometry

The structure belongs to space group F-43m (No. 216); the cell edges are 6.2298, 6.2298 and 6.2298 Å and the angles 90.00°, 90.00° and 90.00°. Symmetry generates all atoms from Li at (0.0000, 0.0000, 0.0000), Be at (0.2500, 0.2500, 0.2500), Sb at (0.2500, 0.2500, 0.7500) and Pt at (0.0000, 0.0000, 0.5000).

---

Q:
Material: LiBeSbPt
Method: DFT, GGA-PBE
State: optimized geometry

The structure belongs to space group F-43m (No. 216); the cell edges are 6.1585, 6.1585 and 6.1585 Å and the angles 90.00°, 90.00° and 90.00°. Symmetry generates all atoms from Li at (0.0000, 0.0000, 0.0000), Be at (0.0000, 0.0000, 0.5000), Sb at (0.2500, 0.2500, 0.2500) and Pt at (0.2500, 0.2500, 0.7500).

---

Quick one: least stable of them? Q

---

P:
Material: LiSmBe
Method: DFT, GGA-PBE
State: optimized geometry

The structure belongs to space group F-43m (No. 216); the cell edges are 6.5577, 6.5577 and 6.5577 Å and the angles 90.00°, 90.00° and 90.00°. Symmetry generates all atoms from Li at (0.0000, 0.0000, 0.0000), Sm at (0.2500, 0.2500, 0.7500) and Be at (0.0000, 0.0000, 0.5000).

---

Q:
Material: LiSmBe
Method: DFT, GGA-PBE
State: optimized geometry

The structure belongs to space group F-43m (No. 216); the cell edges are 6.3619, 6.3619 and 6.3619 Å and the angles 90.00°, 90.00° and 90.00°. Symmetry generates all atoms from Li at (0.0000, 0.0000, 0.0000), Sm at (0.2500, 0.2500, 0.2500) and Be at (0.2500, 0.2500, 0.7500).

---

Quick one: least stable of them? P

---

P:
Material: LiBeW
Method: DFT, GGA-PBE
State: optimized geometry

The structure belongs to space group F-43m (No. 216); the cell edges are 5.3763, 5.3763 and 5.3763 Å and the angles 90.00°, 90.00° and 90.00°. Symmetry generates all atoms from Li at (0.0000, 0.0000, 0.0000), Be at (0.2500, 0.2500, 0.2500) and W at (0.0000, 0.0000, 0.5000).

---

Q:
Material: LiBeW
Method: DFT, GGA-PBE
State: optimized geometry

The structure belongs to space group F-43m (No. 216); the cell edges are 5.5685, 5.5685 and 5.5685 Å and the angles 90.00°, 90.00° and 90.00°. Symmetry generates all atoms from Li at (0.0000, 0.0000, 0.0000), Be at (0.0000, 0.0000, 0.5000) and W at (0.2500, 0.2500, 0.7500).

---

Quick one: least stable of them? Q

---

P:
Material: LuBe
Method: DFT, GGA-PBE
State: optimized geometry

The structure belongs to space group F-43m (No. 216); the cell edges are 6.0704, 6.0704 and 6.0704 Å and the angles 90.00°, 90.00° and 90.00°. Symmetry generates all atoms from Lu at (0.0000, 0.0000, 0.0000) and Be at (0.2500, 0.2500, 0.2500).

---

Q:
Material: LuBe
Method: DFT, GGA-PBE
State: optimized geometry

The structure belongs to space group Fm-3m (No. 225); the cell edges are 5.5262, 5.5262 and 5.5262 Å and the angles 90.00°, 90.00° and 90.00°. Symmetry generates all atoms from Lu at (0.0000, 0.0000, 0.0000) and Be at (0.0000, 0.0000, 0.5000).

---

R:
Material: LuBe
Method: DFT, GGA-PBE
State: optimized geometry

The structure belongs to space group P-6m2 (No. 187); the cell edges are 3.3589, 3.3589 and 4.2362 Å and the angles 90.00°, 90.00° and 120.00°. Symmetry generates all atoms from Lu at (0.0000, 0.0000, 0.0000) and Be at (0.3333, 0.6667, 0.5000).

---

Quick one: least stable of them? P

---

P:
Material: Lu2Be
Method: DFT, GGA-PBE
State: optimized geometry

The structure belongs to space group Fd-3m (No. 227, origin choice 2); the cell edges are 8.4559, 8.4559 and 8.4559 Å and the angles 90.00°, 90.00° and 90.00°. Symmetry generates all atoms from Lu at (0.0000, 0.0000, 0.0000) and Be at (0.1250, 0.1250, 0.6250).

---

Q:
Material: Lu2Be
Method: DFT, GGA-PBE
State: optimized geometry

The structure belongs to space group Fm-3m (No. 225); the cell edges are 6.6163, 6.6163 and 6.6163 Å and the angles 90.00°, 90.00° and 90.00°. Symmetry generates all atoms from Lu at (0.2500, 0.2500, 0.2500) and Be at (0.0000, 0.0000, 0.0000).

---

Quick one: least stable of them? P

---

P:
Material: LuMgBe
Method: DFT, GGA-PBE
State: optimized geometry

The structure belongs to space group F-43m (No. 216); the cell edges are 6.6957, 6.6957 and 6.6957 Å and the angles 90.00°, 90.00° and 90.00°. Symmetry generates all atoms from Lu at (0.0000, 0.0000, 0.0000), Mg at (0.2500, 0.2500, 0.2500) and Be at (0.2500, 0.2500, 0.7500).

---

Q:
Material: LuMgBe
Method: DFT, GGA-PBE
State: optimized geometry

The structure belongs to space group F-43m (No. 216); the cell edges are 6.3852, 6.3852 and 6.3852 Å and the angles 90.00°, 90.00° and 90.00°. Symmetry generates all atoms from Lu at (0.0000, 0.0000, 0.0000), Mg at (0.0000, 0.0000, 0.5000) and Be at (0.2500, 0.2500, 0.2500).

---

Quick one: least stable of them? P

---

P:
Material: LuBeMo
Method: DFT, GGA-PBE
State: optimized geometry

The structure belongs to space group F-43m (No. 216); the cell edges are 6.2604, 6.2604 and 6.2604 Å and the angles 90.00°, 90.00° and 90.00°. Symmetry generates all atoms from Lu at (0.0000, 0.0000, 0.0000), Be at (0.0000, 0.0000, 0.5000) and Mo at (0.2500, 0.2500, 0.7500).

---

Q:
Material: LuBeMo
Method: DFT, GGA-PBE
State: optimized geometry

The structure belongs to space group F-43m (No. 216); the cell edges are 6.2624, 6.2624 and 6.2624 Å and the angles 90.00°, 90.00° and 90.00°. Symmetry generates all atoms from Lu at (0.0000, 0.0000, 0.0000), Be at (0.2500, 0.2500, 0.7500) and Mo at (0.2500, 0.2500, 0.2500).

---

Quick one: least stable of them? Q